No. 1
{"formula": "TaTlBr2", "functional": "PBEsol", "state": "optimized geometry", "crystal_system": "trigonal", "formation_energy_uncorrected_ev_per_atom": -0.122, "magnetic_moment_mub_per_fu": 0.00, "e_tot_ev_per_atom": -4.8527, "cell": [[3.361, 0.000, 0.000], [1.681, 2.911, 0.000], [1.681, 0.970, 9.221]], "species": ["Tl", "Br", "Br", "Ta"], "frac_coords": [[0.246, 0.246, 0.263], [0.990, 0.990, 0.029], [0.767, 0.767, 0.699], [0.497, 0.497, 0.510]]}



No. 2
{"formula": "Li2CrO4", "functional": "PBEsol", "state": "optimized geometry", "crystal_system": "triclinic", "formation_energy_uncorrected_ev_per_atom": -1.991, "magnetic_moment_mub_per_fu": 0.00, "e_tot_ev_per_atom": -7.0158, "cell": [[5.180, 0.156, -0.046], [2.269, 4.597, 0.206], [2.460, 0.345, 7.403]], "species": ["Cr", "Cr", "O", "O", "O", "O", "O", "O", "O", "O", "Li", "Li", "Li", "Li"], "frac_coords": [[0.321, 0.294, 0.776], [0.673, 0.664, 0.258], [0.124, 0.154, 0.937], [0.394, 0.516, 0.859], [0.630, 0.031, 0.674], [0.109, 0.490, 0.629], [0.978, 0.664, 0.289], [0.361, 0.917, 0.371], [0.676, 0.338, 0.319], [0.698, 0.749, 0.041], [0.708, 0.639, 0.810], [0.289, 0.316, 0.396], [0.957, 0.917, 0.458], [0.078, 0.801, 0.022]]}